A plane-wave DFT calculation with PBE-GGA was carried out for a relaxed structure of Mn6SiC.

Results
The symmetry is No. 2. For the uncorrected formation energy, the calculation gives -84.6 meV/atom.

Unit cell a=4.391 b=5.919 c=5.469 alpha=74.17 beta=53.41 gamma=49.62
Positions (direct):
1 Mn 0.656 0.774 0.642
2 Mn 0.240 0.916 0.234
3 Mn 0.344 0.226 0.358
4 Mn 0.760 0.084 0.766
5 Mn 0.937 0.359 0.925
6 Mn 0.063 0.641 0.075
7 Si 0.500 0.500 0.500
8 C 0.000 0.000 0.000

***

A plane-wave DFT calculation with PBE-GGA was carried out for a relaxed structure of Mn20Si12C.

Results
The symmetry is No. 10. For the uncorrected formation energy, the calculation gives -353.0 meV/atom.

Unit cell a=11.939 b=4.806 c=6.875 alpha=89.97 beta=90.00 gamma=90.00
Positions (direct):
1 Mn 0.668 0.500 0.000
2 Mn 0.119 0.740 0.119
3 Mn 0.000 0.258 0.238
4 Mn 0.881 0.260 0.881
5 Mn 0.623 0.749 0.622
6 Mn 0.500 0.252 0.742
7 Mn 0.334 0.000 0.000
8 Mn 0.377 0.749 0.622
9 Mn 0.377 0.251 0.378
10 Mn 0.332 0.500 0.000
11 Mn 0.881 0.740 0.119
12 Mn 0.835 0.500 0.500
13 Mn 0.623 0.251 0.378
14 Mn 0.833 0.000 0.500
15 Mn 0.666 0.000 0.000
16 Mn 0.167 0.000 0.500
17 Mn 0.165 0.500 0.500
18 Mn 0.119 0.260 0.881
19 Mn 0.000 0.742 0.762
20 Mn 0.500 0.748 0.258
21 Si 0.000 0.762 0.403
22 Si 0.700 0.751 0.300
23 Si 0.300 0.751 0.300
24 Si 0.000 0.238 0.597
25 Si 0.201 0.238 0.201
26 Si 0.799 0.762 0.799
27 Si 0.500 0.250 0.102
28 Si 0.300 0.249 0.700
29 Si 0.799 0.238 0.201
30 Si 0.500 0.750 0.898
31 Si 0.201 0.762 0.799
32 Si 0.700 0.249 0.700
33 C 0.000 0.500 0.000

***

A plane-wave DFT calculation with PBE-GGA was carried out for a relaxed structure of MnSi2C2.

Results
The symmetry is No. 139. For the uncorrected formation energy, the calculation gives 1081.6 meV/atom.

Unit cell a=2.609 b=2.609 c=6.985 alpha=79.24 beta=79.24 gamma=90.00
Positions (direct):
1 Si 0.380 0.380 0.240
2 Si 0.620 0.620 0.760
3 Mn 0.000 0.000 0.000
4 C 0.750 0.250 0.500
5 C 0.250 0.750 0.500

***

A plane-wave DFT calculation with PBE-GGA was carried out for a relaxed structure of MnSiC3.

Results
The symmetry is No. 221. For the uncorrected formation energy, the calculation gives 2210.6 meV/atom.

Unit cell a=3.692 b=3.692 c=3.692 alpha=90.00 beta=90.00 gamma=90.00
Positions (direct):
1 Si 0.000 0.000 0.000
2 C 0.000 0.500 0.000
3 C 0.500 0.000 0.000
4 C 0.000 0.000 0.500
5 Mn 0.500 0.500 0.500